# 1
Crystalline TbDyIr2C3 at its relaxed geometry. Source: the Open Quantum Materials Database, functional GGA-PBE.

Cell: 11.411 3.467 5.275 Å, 90.00 104.56 90.00°
Space group Cm (No. 8)
Unique sites:
Tb  0.000  0.000  0.000 x2
Dy  0.252  0.500  0.361 x2
Ir  0.009  0.500  0.513 x2
Ir  0.243  0.000  0.847 x2
C  0.103  0.000  0.476 x2
C  0.150  0.500  0.885 x2
C  0.376  0.000  0.678 x2

## Properties
Energy (eV/atom): -7.931



# 2
Crystalline ZrAlCu at its relaxed geometry. Source: the Open Quantum Materials Database, functional GGA-PBE.

Cell: 5.145 5.268 7.239 Å, 90.00 90.00 90.00°
Space group Imma (No. 74)
Unique sites:
Zr  0.000  0.250  0.126 x4
Al  0.000  0.000  0.500 x4
Cu  0.250  0.250  0.750 x4

## Properties
Energy (eV/atom): -5.737



# 3
Crystalline Hf2GaAg2 at its relaxed geometry. Source: the Open Quantum Materials Database, functional GGA-PBE.

Cell: 3.741 3.741 14.700 Å, 90.00 90.00 90.00°
Space group I4/mmm (No. 139)
Unique sites:
Hf  0.000  0.000  0.094 x4
Ga  0.000  0.000  0.500 x2
Ag  0.000  0.500  0.250 x4

## Properties
Energy (eV/atom): -5.398



# 4
Crystalline TmTlNiSe3 at its relaxed geometry. Source: the Open Quantum Materials Database, functional GGA-PBE.

Cell: 16.512 4.085 8.982 Å, 90.00 104.52 90.00°
Space group C2/m (No. 12)
Unique sites:
Tm  0.171  0.000  0.091 x4
Tl  0.142  0.000  0.565 x4
Ni  0.001  0.500  0.809 x4
Se  0.000  0.000  0.000 x2
Se  0.000  0.500  0.500 x2
Se  0.148  0.500  0.288 x4
Se  0.154  0.500  0.864 x4

## Properties
Energy (eV/atom): -4.622



# 5
Crystalline K4PtSe4 at its relaxed geometry. Source: the Open Quantum Materials Database, functional GGA-PBE.

Cell: 10.970 6.345 8.049 Å, 90.00 97.68 90.00°
Space group C2/m (No. 12)
Unique sites:
K  0.149  0.000  0.118 x4
K  0.160  0.500  0.396 x4
Pt  0.000  0.000  0.500 x2
Se  0.093  0.239  0.731 x8

## Properties
Energy (eV/atom): -3.557



# 6
Crystalline LaNdAl2I2 at its relaxed geometry. Source: the Open Quantum Materials Database, functional GGA-PBE.

Cell: 4.4038 4.4038 12.5283 Å, 90.00 90.00 120.00°
Space group P3m1 (No. 156)
Unique sites:
La  0.0000  0.0000  0.0000 x1
Nd  0.0000  0.0000  0.6545 x1
Al  0.3333  0.6667  0.8392 x1
Al  0.6667  0.3333  0.8126 x1
I  0.3333  0.6667  0.4949 x1
I  0.6667  0.3333  0.1665 x1

## Properties
Energy (eV/atom): -4.350



# 7
Crystalline TePtPbO at its relaxed geometry. Source: the Open Quantum Materials Database, functional GGA-PBE.

Cell: 4.533 4.533 8.885 Å, 90.00 90.00 90.00°
Space group P4/nmm (No. 129, origin choice 2)
Unique sites:
Te  0.250  0.750  0.000 x2
Pt  0.250  0.250  0.170 x2
Pb  0.250  0.250  0.648 x2
O  0.250  0.250  0.409 x2

## Properties
Energy (eV/atom): -4.699



# 8
Crystalline CuAg9 at its relaxed geometry. Source: the Open Quantum Materials Database, functional GGA-PBE.

Cell: 9.224 4.110 9.186 Å, 90.00 90.37 90.00°
Space group C2/m (No. 12)
Unique sites:
Cu  0.000  0.000  0.000 x2
Ag  0.000  0.500  0.500 x2
Ag  0.096  0.500  0.193 x4
Ag  0.100  0.000  0.707 x4
Ag  0.200  0.000  0.398 x4
Ag  0.200  0.500  0.904 x4

## Properties
E_form (meV/atom): 30



# 9
Crystalline GdSiGe at its relaxed geometry. Source: the Open Quantum Materials Database, functional GGA-PBE.

Cell: 6.588 6.588 6.588 Å, 90.00 90.00 90.00°
Space group F-43m (No. 216)
Unique sites:
Gd  0.000  0.000  0.000 x4
Si  0.000  0.000  0.500 x4
Ge  0.250  0.250  0.250 x4

## Properties
Energy (eV/atom): -4.926



# 10
Crystalline RbHoPa at its relaxed geometry. Source: the Open Quantum Materials Database, functional GGA-PBE.

Cell: 8.174 8.174 8.174 Å, 90.00 90.00 90.00°
Space group F-43m (No. 216)
Unique sites:
Rb  0.000  0.000  0.000 x4
Ho  0.250  0.250  0.750 x4
Pa  0.000  0.000  0.500 x4

## Properties
Energy (eV/atom): -3.170



# 11
Crystalline Ta4Os3C at its relaxed geometry. Source: the Open Quantum Materials Database, functional GGA-PBE.

Cell: 5.086 5.086 10.570 Å, 90.00 90.00 90.00°
Space group I4/mmm (No. 139)
Unique sites:
Ta  0.000  0.000  0.196 x4
Ta  0.000  0.500  0.000 x4
Os  0.000  0.000  0.500 x2
Os  0.000  0.500  0.250 x4
C  0.000  0.000  0.000 x2

## Properties
Energy (eV/atom): -10.805



# 12
Crystalline Ta4CoGeN2 at its relaxed geometry. Source: the Open Quantum Materials Database, functional GGA-PBE.

Cell: 3.1307 3.1307 12.7512 Å, 90.00 90.00 120.00°
Space group P-6m2 (No. 187)
Unique sites:
Ta  0.0000  0.0000  0.1490 x2
Ta  0.3333  0.6667  0.3392 x2
Co  0.3333  0.6667  0.0000 x1
Ge  0.0000  0.0000  0.5000 x1
N  0.6667  0.3333  0.2434 x2

## Properties
Energy (eV/atom): -9.959



# 13
Crystalline RbHoNiSe3 at its relaxed geometry. Source: the Open Quantum Materials Database, functional GGA-PBE.

Cell: 9.350 4.056 9.688 Å, 90.00 109.85 90.00°
Space group P2_1/m (No. 11)
Unique sites:
Rb  0.209  0.250  0.243 x2
Ho  0.327  0.750  0.861 x2
Ni  0.077  0.250  0.599 x2
Se  0.115  0.250  0.859 x2
Se  0.182  0.750  0.542 x2
Se  0.471  0.750  0.167 x2

## Properties
Energy (eV/atom): -4.788



# 14
Crystalline TmAlPdPt at its relaxed geometry. Source: the Open Quantum Materials Database, functional GGA-PBE.

Cell: 4.3382 4.3382 9.0844 Å, 90.00 90.00 120.00°
Space group P-6m2 (No. 187)
Unique sites:
Tm  0.0000  0.0000  0.0000 x1
Tm  0.3333  0.6667  0.5000 x1
Al  0.6667  0.3333  0.2553 x2
Pd  0.3333  0.6667  0.1636 x2
Pt  0.0000  0.0000  0.3288 x2

## Properties
Energy (eV/atom): -5.964



# 15
Crystalline HfTe4Pb2 at its relaxed geometry. Source: the Open Quantum Materials Database, functional GGA-PBE.

Cell: 7.718 7.718 5.751 Å, 90.00 90.00 90.00°
Space group P-42m (No. 111)
Unique sites:
Hf  0.000  0.000  0.000 x1
Te  0.208  0.208  0.267 x4
Pb  0.000  0.500  0.000 x2

## Properties
Energy (eV/atom): -4.664



# 16
Crystalline PdBrCl2 at its relaxed geometry. Source: the Open Quantum Materials Database, functional GGA-PBE.

Cell: 6.086 6.471 11.272 Å, 90.00 90.00 90.00°
Space group Ama2 (No. 40)
Unique sites:
Pd  0.000  0.000  0.000 x4
Br  0.250  0.164  0.844 x4
Cl  0.250  0.152  0.147 x4
Cl  0.250  0.211  0.501 x4

## Properties
Energy (eV/atom): -2.903



# 17
Crystalline TbErGa2Fe4 at its relaxed geometry. Source: the Open Quantum Materials Database, functional GGA-PBE.

Cell: 3.935 4.943 6.826 Å, 90.00 90.00 90.00°
Space group Pmm2 (No. 25)
Unique sites:
Tb  0.000  0.000  0.000 x1
Er  0.000  0.500  0.628 x1
Ga  0.500  0.000  0.648 x1
Ga  0.500  0.500  0.982 x1
Fe  0.000  0.000  0.412 x1
Fe  0.000  0.500  0.222 x1
Fe  0.500  0.251  0.317 x2

## Properties
Energy (eV/atom): -6.399



# 18
Crystalline CsZrTlSe3 at its relaxed geometry. Source: the Open Quantum Materials Database, functional GGA-PBE.

Cell: 3.941 17.524 11.911 Å, 90.00 90.00 90.00°
Space group Cmcm (No. 63)
Unique sites:
Cs  0.000  0.189  0.250 x4
Zr  0.000  0.500  0.000 x4
Tl  0.000  0.119  0.750 x4
Se  0.000  0.104  0.002 x8
Se  0.000  0.496  0.750 x4

## Properties
Energy (eV/atom): -4.696



# 19
Crystalline FeCoHgSb at its relaxed geometry. Source: the Open Quantum Materials Database, functional GGA-PBE.

Cell: 6.355 6.355 6.355 Å, 90.00 90.00 90.00°
Space group F-43m (No. 216)
Unique sites:
Fe  0.000  0.000  0.000 x4
Co  0.000  0.000  0.500 x4
Hg  0.250  0.250  0.750 x4
Sb  0.250  0.250  0.250 x4

## Properties
Energy (eV/atom): -4.545



# 20
Crystalline TlCd4SbC2 at its relaxed geometry. Source: the Open Quantum Materials Database, functional GGA-PBE.

Cell: 3.5941 3.5941 14.8804 Å, 90.00 90.00 120.00°
Space group P-6m2 (No. 187)
Unique sites:
Tl  0.0000  0.0000  0.0000 x1
Cd  0.0000  0.0000  0.3370 x2
Cd  0.6667  0.3333  0.1759 x2
Sb  0.6667  0.3333  0.5000 x1
C  0.3333  0.6667  0.2476 x2

## Properties
Energy (eV/atom): -2.624